# 1
First-principles (GGA-PBE) data for crystalline La3Sn13Ir4 at its relaxed geometry, as listed in the Alexandria database.

Unit cell a=9.8646 b=9.8646 c=9.8646 alpha=90.00 beta=90.00 gamma=90.00
Element x y z (fractional)
1 La 0.0000 0.2500 0.5000
2 La 0.0000 0.7500 0.5000
3 La 0.2500 0.5000 0.0000
4 La 0.5000 0.0000 0.2500
5 La 0.5000 0.0000 0.7500
6 La 0.7500 0.5000 0.0000
7 Sn 0.0000 0.0000 0.0000
8 Sn 0.0000 0.3058 0.1524
9 Sn 0.0000 0.3058 0.8476
10 Sn 0.0000 0.6942 0.1524
11 Sn 0.0000 0.6942 0.8476
12 Sn 0.1524 0.0000 0.3058
13 Sn 0.1524 0.0000 0.6942
14 Sn 0.1942 0.5000 0.3476
15 Sn 0.1942 0.5000 0.6524
16 Sn 0.3058 0.1524 0.0000
17 Sn 0.3058 0.8476 0.0000
18 Sn 0.3476 0.1942 0.5000
19 Sn 0.3476 0.8058 0.5000
20 Sn 0.5000 0.3476 0.1942
21 Sn 0.5000 0.3476 0.8058
22 Sn 0.5000 0.5000 0.5000
23 Sn 0.5000 0.6524 0.1942
24 Sn 0.5000 0.6524 0.8058
25 Sn 0.6524 0.1942 0.5000
26 Sn 0.6524 0.8058 0.5000
27 Sn 0.6942 0.1524 0.0000
28 Sn 0.6942 0.8476 0.0000
29 Sn 0.8058 0.5000 0.3476
30 Sn 0.8058 0.5000 0.6524
31 Sn 0.8476 0.0000 0.3058
32 Sn 0.8476 0.0000 0.6942
33 Ir 0.2500 0.2500 0.2500
34 Ir 0.2500 0.2500 0.7500
35 Ir 0.2500 0.7500 0.2500
36 Ir 0.2500 0.7500 0.7500
37 Ir 0.7500 0.2500 0.2500
38 Ir 0.7500 0.2500 0.7500
39 Ir 0.7500 0.7500 0.2500
40 Ir 0.7500 0.7500 0.7500

---

# 2
First-principles (GGA-PBE) data for crystalline La12Sn6Ir at its relaxed geometry, as listed in the Alexandria database.

Unit cell a=8.7726 b=8.7726 c=8.7726 alpha=92.07 beta=92.07 gamma=92.07
Element x y z (fractional)
1 La 0.0457 0.6884 0.9207
2 La 0.0793 0.9543 0.3116
3 La 0.1928 0.5516 0.4212
4 La 0.3116 0.0793 0.9543
5 La 0.4212 0.1928 0.5516
6 La 0.4484 0.5788 0.8072
7 La 0.5516 0.4212 0.1928
8 La 0.5788 0.8072 0.4484
9 La 0.6884 0.9207 0.0457
10 La 0.8072 0.4484 0.5788
11 La 0.9207 0.0457 0.6884
12 La 0.9543 0.3116 0.0793
13 Sn 0.1418 0.3590 0.7412
14 Sn 0.2588 0.8582 0.6410
15 Sn 0.3590 0.7412 0.1418
16 Sn 0.6410 0.2588 0.8582
17 Sn 0.7412 0.1418 0.3590
18 Sn 0.8582 0.6410 0.2588
19 Ir 0.0000 0.0000 0.0000

---

# 3
First-principles (GGA-PBE) data for crystalline LaSnIr at its relaxed geometry, as listed in the Alexandria database.

Unit cell a=4.6380 b=4.6380 c=4.0055 alpha=90.00 beta=90.00 gamma=120.00
Element x y z (fractional)
1 La 0.0000 0.0000 0.0000
2 Sn 0.6667 0.3333 0.5000
3 Ir 0.3333 0.6667 0.5000

---

# 4
First-principles (GGA-PBE) data for crystalline LaSn8Ir2 at its relaxed geometry, as listed in the Alexandria database.

Unit cell a=6.4650 b=6.4650 c=8.0352 alpha=90.00 beta=90.00 gamma=90.00
Element x y z (fractional)
1 La 0.0000 0.0000 0.0000
2 Sn 0.2500 0.2500 0.3041
3 Sn 0.2500 0.2500 0.6959
4 Sn 0.2500 0.7500 0.3041
5 Sn 0.2500 0.7500 0.6959
6 Sn 0.7500 0.2500 0.3041
7 Sn 0.7500 0.2500 0.6959
8 Sn 0.7500 0.7500 0.3041
9 Sn 0.7500 0.7500 0.6959
10 Ir 0.0000 0.5000 0.5000
11 Ir 0.5000 0.0000 0.5000

---

# 5
First-principles (GGA-PBE) data for crystalline La8Sn2Ir at its relaxed geometry, as listed in the Alexandria database.

Unit cell a=10.1660 b=10.1660 c=7.0113 alpha=109.98 beta=109.98 gamma=31.20
Element x y z (fractional)
1 La 0.0085 0.0085 0.2303
2 La 0.2174 0.2174 0.1415
3 La 0.3536 0.3536 0.6705
4 La 0.4112 0.4112 0.2505
5 La 0.5888 0.5888 0.7495
6 La 0.6464 0.6464 0.3295
7 La 0.7826 0.7826 0.8585
8 La 0.9915 0.9915 0.7697
9 Sn 0.1718 0.1718 0.6313
10 Sn 0.8282 0.8282 0.3687
11 Ir 0.5000 0.5000 0.0000

---

# 6
First-principles (GGA-PBE) data for crystalline La2Sn4Ir at its relaxed geometry, as listed in the Alexandria database.

Unit cell a=9.0547 b=9.0547 c=9.0547 alpha=147.62 beta=147.62 gamma=46.45
Element x y z (fractional)
1 La 0.1468 0.1468 0.0000
2 La 0.8532 0.8532 0.0000
3 Sn 0.0000 0.5000 0.5000
4 Sn 0.3353 0.3353 0.0000
5 Sn 0.5000 0.0000 0.5000
6 Sn 0.6647 0.6647 0.0000
7 Ir 0.5000 0.5000 0.0000

---

# 7
First-principles (GGA-PBE) data for crystalline LaSnIr at its relaxed geometry, as listed in the Alexandria database.

Unit cell a=7.5379 b=7.5379 c=4.2558 alpha=90.00 beta=90.00 gamma=120.00
Element x y z (fractional)
1 La 0.0000 0.4158 0.0000
2 La 0.4158 0.0000 0.0000
3 La 0.5842 0.5842 0.0000
4 Sn 0.0000 0.7533 0.5000
5 Sn 0.2467 0.2467 0.5000
6 Sn 0.7533 0.0000 0.5000
7 Ir 0.0000 0.0000 0.0000
8 Ir 0.3333 0.6667 0.5000
9 Ir 0.6667 0.3333 0.5000

---

# 8
First-principles (GGA-PBE) data for crystalline LaSn4Ir4 at its relaxed geometry, as listed in the Alexandria database.

Unit cell a=8.8551 b=8.8551 c=5.3473 alpha=90.00 beta=90.00 gamma=90.00
Element x y z (fractional)
1 La 0.2500 0.2500 0.2500
2 La 0.7500 0.7500 0.7500
3 Sn 0.1058 0.6363 0.1549
4 Sn 0.1363 0.8942 0.6549
5 Sn 0.3637 0.6058 0.6549
6 Sn 0.3942 0.8637 0.1549
7 Sn 0.6058 0.1363 0.8451
8 Sn 0.6363 0.3942 0.3451
9 Sn 0.8637 0.1058 0.3451
10 Sn 0.8942 0.3637 0.8451
11 Ir 0.0540 0.5998 0.6619
12 Ir 0.0998 0.9460 0.1619
13 Ir 0.4002 0.5540 0.1619
14 Ir 0.4460 0.9002 0.6619
15 Ir 0.5540 0.0998 0.3381
16 Ir 0.5998 0.4460 0.8381
17 Ir 0.9002 0.0540 0.8381
18 Ir 0.9460 0.4002 0.3381

---

# 9
First-principles (GGA-PBE) data for crystalline La2SnIr2 at its relaxed geometry, as listed in the Alexandria database.

Unit cell a=5.8952 b=5.8952 c=8.2829 alpha=102.08 beta=102.08 gamma=58.79
Element x y z (fractional)
1 La 0.0139 0.6937 0.8523
2 La 0.3063 0.9861 0.6477
3 La 0.6937 0.0139 0.3523
4 La 0.9861 0.3063 0.1477
5 Sn 0.3455 0.6545 0.2500
6 Sn 0.6545 0.3455 0.7500
7 Ir 0.2237 0.4960 0.5043
8 Ir 0.4960 0.2237 0.0043
9 Ir 0.5040 0.7763 0.9957
10 Ir 0.7763 0.5040 0.4957

---

# 10
First-principles (GGA-PBE) data for crystalline LaSn2Ir2 at its relaxed geometry, as listed in the Alexandria database.

Unit cell a=7.6997 b=7.6997 c=3.6207 alpha=90.00 beta=90.00 gamma=90.00
Element x y z (fractional)
1 La 0.0000 0.0000 0.0000
2 La 0.5000 0.5000 0.0000
3 Sn 0.1566 0.3434 0.5000
4 Sn 0.3434 0.8434 0.5000
5 Sn 0.6566 0.1566 0.5000
6 Sn 0.8434 0.6566 0.5000
7 Ir 0.1286 0.6286 0.0000
8 Ir 0.3714 0.1286 0.0000
9 Ir 0.6286 0.8714 0.0000
10 Ir 0.8714 0.3714 0.0000

---

# 11
First-principles (GGA-PBE) data for crystalline La3SnIr8 at its relaxed geometry, as listed in the Alexandria database.

Unit cell a=9.4182 b=9.4182 c=9.4182 alpha=33.62 beta=33.62 gamma=33.62
Element x y z (fractional)
1 La 0.0000 0.0000 0.0000
2 La 0.1270 0.1270 0.1270
3 La 0.6212 0.6212 0.6212
4 Sn 0.4972 0.4972 0.4972
5 Ir 0.0618 0.0618 0.5615
6 Ir 0.0618 0.5615 0.0618
7 Ir 0.0652 0.5623 0.5623
8 Ir 0.3126 0.3126 0.3126
9 Ir 0.5615 0.0618 0.0618
10 Ir 0.5623 0.0652 0.5623
11 Ir 0.5623 0.5623 0.0652
12 Ir 0.8130 0.8130 0.8130

---

# 12
First-principles (GGA-PBE) data for crystalline La4SnIr at its relaxed geometry, as listed in the Alexandria database.

Unit cell a=6.4305 b=7.1224 c=8.4667 alpha=90.00 beta=93.95 gamma=90.00
Element x y z (fractional)
1 La 0.1066 0.0067 0.2181
2 La 0.1066 0.4933 0.2181
3 La 0.3397 0.2500 0.6213
4 La 0.3913 0.7500 0.9206
5 La 0.6087 0.2500 0.0794
6 La 0.6603 0.7500 0.3787
7 La 0.8934 0.5067 0.7819
8 La 0.8934 0.9933 0.7819
9 Sn 0.2056 0.7500 0.5501
10 Sn 0.7944 0.2500 0.4499
11 Ir 0.1905 0.2500 0.9362
12 Ir 0.8095 0.7500 0.0638

---

Listing energy of formation for the structures above in their given order: -0.55 -0.57 -0.65 -0.13 -0.48 -0.30 -0.83 -0.26 -0.80 -0.26 -0.52 -0.59 eV per atom.
Listing calculated volume for the structures above in their given order: 959.9 673.8 74.6 335.8 351.0 212.1 209.4 419.3 239.0 214.7 228.1 386.9 Å³ per cell.